Density functional theory data (PBE) for NdErTm2 after structural relaxation.

Space group: No. 160
D(E_F) (states/eV/cell): 6.334
Spin magnetization (μB per formula unit): 0.13
V (Å³ per cell): 125.8
Formation enthalpy at 0 K (meV/atom): 9.6

Cell: 11.578 11.578 11.578 Å, 17.74 17.74 17.74°
Positions (direct):
Nd  0.000  0.000  0.000
Er  0.834  0.834  0.834
Tm  0.419  0.419  0.419
Tm  0.582  0.582  0.582